1.
Here is crystalline HoSiSe4 at its relaxed geometry from Alexandria via LeMat-Bulk. Energies are from PBE.

a = 5.8128 Å, b = 9.2012 Å, c = 6.7797 Å
α = 90.00°, β = 112.25°, γ = 90.00°
Atoms (fractional coordinates):
Ho 0.1043 0.2500 0.1505
Ho 0.8957 0.7500 0.8495
Si 0.3076 0.7500 0.4385
Si 0.6924 0.2500 0.5615
Se 0.0591 0.5680 0.2301
Se 0.0591 0.9320 0.2301
Se 0.3267 0.2500 0.6082
Se 0.3813 0.7500 0.7944
Se 0.6187 0.2500 0.2056
Se 0.6733 0.7500 0.3918
Se 0.9409 0.0680 0.7699
Se 0.9409 0.4320 0.7699

**Formation energy (no corrections)**: -0.8415 eV/atom
**Total moment**: 0.0 Bohr magnetons per cell

2.
Here is crystalline SmHoSiSe at its relaxed geometry from Alexandria via LeMat-Bulk. Energies are from PBE.

a = 4.1382 Å, b = 4.1382 Å, c = 20.5700 Å
α = 90.00°, β = 90.00°, γ = 120.00°
Atoms (fractional coordinates):
Sm 0.0000 0.0000 0.0000
Sm 0.3333 0.6667 0.6667
Sm 0.6667 0.3333 0.3333
Ho 0.0000 0.0000 0.4914
Ho 0.3333 0.6667 0.1581
Ho 0.6667 0.3333 0.8248
Si 0.0000 0.0000 0.7477
Si 0.3333 0.6667 0.4143
Si 0.6667 0.3333 0.0810
Se 0.0000 0.0000 0.2429
Se 0.3333 0.6667 0.9096
Se 0.6667 0.3333 0.5762

**Formation energy (no corrections)**: -1.2946 eV/atom
**Total moment**: 0.0 Bohr magnetons per cell

3.
Here is crystalline Ho6Si2SnSe3 at its relaxed geometry from Alexandria via LeMat-Bulk. Energies are from PBE.

a = 9.2928 Å, b = 9.2928 Å, c = 8.3759 Å
α = 103.38°, β = 103.38°, γ = 25.54°
Atoms (fractional coordinates):
Ho 0.0045 0.0045 0.2611
Ho 0.3283 0.3283 0.4256
Ho 0.3295 0.3295 0.9011
Ho 0.6705 0.6705 0.0989
Ho 0.6717 0.6717 0.5744
Ho 0.9955 0.9955 0.7389
Si 0.1667 0.1667 0.3343
Si 0.8333 0.8333 0.6657
Sn 0.5000 0.5000 0.0000
Se 0.1656 0.1656 0.8320
Se 0.5000 0.5000 0.5000
Se 0.8344 0.8344 0.1680

**Formation energy (no corrections)**: -1.2537 eV/atom
**Total moment**: 0.0 Bohr magnetons per cell

Which uncorrected energy belongs to each record? In order, -4.83; -5.85; -5.65 eV per atom.